(1)
! meta-GGA SCAN ScBe2Te, PBEsol geometry; values from VASP
! Calculated total energy ... -15.11 eV/atom
&SYSTEM
  ibrav = 0, nat = 4, ntyp = 3
/
ATOMIC_SPECIES
Sc 44.96 Sc.upf
Be 9.01 Be.upf
Te 127.60 Te.upf
CELL_PARAMETERS angstrom
2.0533 -4.5577 0.0000
2.0533 4.5577 0.0000
0.0000 0.0000 3.9402
ATOMIC_POSITIONS angstrom
Sc 0.0000 0.0000 0.0000
Be 2.0533 1.8867 0.0000
Be 2.0533 -1.8867 0.0000
Te 2.0533 0.0000 1.9701

=====

(2)
! meta-GGA SCAN Ca5Ge3, PBEsol geometry; values from VASP
! E_form ... -5.4 eV per formula unit
&SYSTEM
  ibrav = 0, nat = 16, ntyp = 2
/
ATOMIC_SPECIES
Ca 40.08 Ca.upf
Ge 72.64 Ge.upf
CELL_PARAMETERS angstrom
-3.8097 3.8097 7.3128
3.8097 -3.8097 7.3128
3.8097 3.8097 -7.3128
ATOMIC_POSITIONS angstrom
Ca 0.0000 0.0000 0.0000
Ca 5.1646 1.3549 -2.0602
Ca 1.3549 2.4548 -2.0602
Ca 5.1646 1.3549 2.0602
Ca 1.3549 2.4548 2.0602
Ca 0.0000 0.0000 7.3128
Ca 2.4548 1.3549 5.2525
Ca -1.3549 2.4548 5.2525
Ca 2.4548 1.3549 9.3730
Ca -1.3549 2.4548 9.3730
Ge 2.9103 0.8994 0.0000
Ge 0.0000 0.0000 3.6564
Ge 2.9103 -0.8994 7.3128
Ge 0.8994 4.7091 0.0000
Ge 0.0000 0.0000 10.9692
Ge 0.8994 2.9103 7.3128

=====

(3)
! meta-GGA SCAN InP2Au, PBEsol geometry; values from VASP
! E_form ... -0.8 eV per formula unit
&SYSTEM
  ibrav = 0, nat = 4, ntyp = 3
/
ATOMIC_SPECIES
In 114.82 In.upf
P 30.97 P.upf
Au 196.97 Au.upf
CELL_PARAMETERS angstrom
5.4881 -1.6287 0.0000
5.4881 1.6287 0.0000
-1.7007 0.0000 4.4241
ATOMIC_POSITIONS angstrom
In 0.0000 0.0000 0.0000
P 2.3110 0.0000 1.5859
P 6.9646 0.0000 2.8382
Au 4.6378 0.0000 2.2121

=====

(4)
! meta-GGA SCAN PrMgAg, PBEsol geometry; values from VASP
! E_form ... -1.0 eV per formula unit
&SYSTEM
  ibrav = 0, nat = 9, ntyp = 3
/
ATOMIC_SPECIES
Pr 140.91 Pr.upf
Mg 24.30 Mg.upf
Ag 107.87 Ag.upf
CELL_PARAMETERS angstrom
7.6898 0.0000 0.0000
-3.8449 6.6596 0.0000
0.0000 0.0000 4.3098
ATOMIC_POSITIONS angstrom
Pr -2.2445 3.8876 0.0000
Pr 1.6004 2.7719 0.0000
Pr 4.4890 0.0000 0.0000
Mg -0.9217 1.5964 2.1549
Mg 1.8434 0.0000 2.1549
Mg 2.9232 5.0631 2.1549
Ag 0.0000 0.0000 0.0000
Ag 0.0000 4.4397 2.1549
Ag 3.8449 2.2199 2.1549

=====

(5)
! meta-GGA SCAN Li2CaRe, PBEsol geometry; values from VASP
! E_form ... 2.5 eV per formula unit
&SYSTEM
  ibrav = 0, nat = 4, ntyp = 3
/
ATOMIC_SPECIES
Li 6.94 Li.upf
Ca 40.08 Ca.upf
Re 186.21 Re.upf
CELL_PARAMETERS angstrom
-1.3404 2.5396 4.8387
1.3404 -2.5396 4.8387
1.3404 2.5396 -4.8387
ATOMIC_POSITIONS angstrom
Li 0.0000 0.0000 0.0000
Li 0.0000 2.5396 2.7131
Ca 1.3404 0.0000 2.5522
Re 0.0000 0.0000 5.2305

=====

(6)
! meta-GGA SCAN TaGa3Te, PBEsol geometry; values from VASP
! Calculated total energy ... -29.86 eV/atom
&SYSTEM
  ibrav = 0, nat = 5, ntyp = 3
/
ATOMIC_SPECIES
Ta 180.95 Ta.upf
Ga 69.72 Ga.upf
Te 127.60 Te.upf
CELL_PARAMETERS angstrom
5.0386 0.0000 0.0000
0.0000 5.0386 0.0000
0.0000 0.0000 5.0386
ATOMIC_POSITIONS angstrom
Ta 0.0000 0.0000 0.0000
Ga 0.0000 0.0000 2.5193
Ga 0.0000 2.5193 0.0000
Ga 2.5193 0.0000 0.0000
Te 2.5193 2.5193 2.5193

=====

(7)
! meta-GGA SCAN Tc3Mo4, PBEsol geometry; values from VASP
! E_form ... 0.4 eV per formula unit
&SYSTEM
  ibrav = 0, nat = 7, ntyp = 2
/
ATOMIC_SPECIES
Tc 98.00 Tc.upf
Mo 95.94 Mo.upf
CELL_PARAMETERS angstrom
-1.5471 1.5471 10.8221
1.5471 -1.5471 10.8221
1.5471 1.5471 -10.8221
ATOMIC_POSITIONS angstrom
Tc 0.0000 0.0000 0.0000
Tc 0.0000 0.0000 6.2341
Tc 0.0000 0.0000 15.4100
Mo 0.0000 0.0000 3.1081
Mo 0.0000 0.0000 9.2577
Mo 0.0000 0.0000 12.3864
Mo 0.0000 0.0000 18.5361

=====

(8)
! meta-GGA SCAN Ta2NiPt, PBEsol geometry; values from VASP
! E_form ... -1.9 eV per formula unit
&SYSTEM
  ibrav = 0, nat = 4, ntyp = 3
/
ATOMIC_SPECIES
Ta 180.95 Ta.upf
Ni 58.69 Ni.upf
Pt 195.08 Pt.upf
CELL_PARAMETERS angstrom
2.7674 0.0000 0.0000
0.0000 3.9364 0.0000
-0.0102 0.0000 5.4971
ATOMIC_POSITIONS angstrom
Ta 2.7636 0.0000 1.3362
Ta -0.0063 0.0000 4.1609
Ni 1.3837 1.9682 0.0000
Pt 1.3786 1.9682 2.7485

=====

Number 1: V 73.75 Å³/cell. Number 2: V 424.54 Å³/cell. Number 3: V 79.09 Å³/cell. Number 4: V 220.71 Å³/cell. Number 5: V 65.89 Å³/cell. Number 6: V 127.92 Å³/cell. Number 7: V 103.61 Å³/cell. Number 8: V 59.88 Å³/cell.